Entry 1:
First-principles (PBE) data for RbSr2La2 after structural relaxation, as listed in Alexandria via LeMat-Bulk.

Structure (CIF):
```
data_RbSr2La2
_chemical_formula_sum 'Rb2 Sr4 La4'
_cell_length_a 11.491
_cell_length_b 11.491
_cell_length_c 3.965
_cell_angle_alpha 90.00
_cell_angle_beta 90.00
_cell_angle_gamma 90.00
_symmetry_space_group_name_H-M 'P 4/m b m'
_symmetry_Int_Tables_number 127
_symmetry_space_group_name_Hall '-P 4 2ab'
loop_
_atom_site_label
_atom_site_type_symbol
_atom_site_fract_x
_atom_site_fract_y
_atom_site_fract_z
_atom_site_occupancy
Rb1 Rb 0.000 0.000 0.000 1
Sr1 Sr 0.183 0.317 0.000 1
La1 La 0.097 0.597 0.500 1
```

Energy of formation ... 0.333 eV/atom
Magnetic moment ... 0.200 μB per atom
Uncorrected energy ... -2.50 eV per atom

---

Entry 2:
First-principles (PBE) data for Rb2SrLa4 after structural relaxation, as listed in Alexandria via LeMat-Bulk.

Structure (CIF):
```
data_Rb2SrLa4
_chemical_formula_sum 'Rb4 Sr2 La8'
_cell_length_a 6.187
_cell_length_b 6.187
_cell_length_c 20.156
_cell_angle_alpha 90.00
_cell_angle_beta 90.00
_cell_angle_gamma 90.00
_symmetry_space_group_name_H-M 'I 4/m m m'
_symmetry_Int_Tables_number 139
_symmetry_space_group_name_Hall '-I 4 2'
loop_
_atom_site_label
_atom_site_type_symbol
_atom_site_fract_x
_atom_site_fract_y
_atom_site_fract_z
_atom_site_occupancy
Rb1 Rb 0.000 0.000 0.146 1
Sr1 Sr 0.000 0.000 0.500 1
La1 La 0.000 0.000 0.349 1
La2 La 0.000 0.500 0.000 1
```

Energy of formation ... 0.917 eV/atom
Magnetic moment ... 0.171 μB per atom
Uncorrected energy ... -2.42 eV per atom

---

Entry 3:
First-principles (PBE) data for RbSrLa3 after structural relaxation, as listed in Alexandria via LeMat-Bulk.

Structure (CIF):
```
data_RbSrLa3
_chemical_formula_sum 'Rb1 Sr1 La3'
_cell_length_a 6.315
_cell_length_b 6.315
_cell_length_c 6.315
_cell_angle_alpha 90.00
_cell_angle_beta 90.00
_cell_angle_gamma 90.00
_symmetry_space_group_name_H-M 'P m -3 m'
_symmetry_Int_Tables_number 221
_symmetry_space_group_name_Hall '-P 4 2 3'
loop_
_atom_site_label
_atom_site_type_symbol
_atom_site_fract_x
_atom_site_fract_y
_atom_site_fract_z
_atom_site_occupancy
Rb1 Rb 0.000 0.000 0.000 1
Sr1 Sr 0.500 0.500 0.500 1
La1 La 0.000 0.500 0.500 1
```

Energy of formation ... 0.842 eV/atom
Magnetic moment ... 0.000 μB per atom
Uncorrected energy ... -2.64 eV per atom

---

Entry 4:
First-principles (PBE) data for RbSr2La2 after structural relaxation, as listed in Alexandria via LeMat-Bulk.

Structure (CIF):
```
data_RbSr2La2
_chemical_formula_sum 'Rb2 Sr4 La4'
_cell_length_a 11.385
_cell_length_b 11.385
_cell_length_c 4.040
_cell_angle_alpha 90.00
_cell_angle_beta 90.00
_cell_angle_gamma 90.00
_symmetry_space_group_name_H-M 'P 4/m b m'
_symmetry_Int_Tables_number 127
_symmetry_space_group_name_Hall '-P 4 2ab'
loop_
_atom_site_label
_atom_site_type_symbol
_atom_site_fract_x
_atom_site_fract_y
_atom_site_fract_z
_atom_site_occupancy
Rb1 Rb 0.000 0.000 0.000 1
Sr1 Sr 0.186 0.314 0.500 1
La1 La 0.096 0.596 0.000 1
```

Energy of formation ... 0.312 eV/atom
Magnetic moment ... 0.310 μB per atom
Uncorrected energy ... -2.52 eV per atom

---

Entry 5:
First-principles (PBE) data for Rb2SrLaTe after structural relaxation, as listed in Alexandria via LeMat-Bulk.

Structure (CIF):
```
data_Rb2SrLaTe
_chemical_formula_sum 'Rb2 Sr1 La1 Te1'
_cell_length_a 6.678
_cell_length_b 6.678
_cell_length_c 6.196
_cell_angle_alpha 90.00
_cell_angle_beta 90.00
_cell_angle_gamma 90.00
_symmetry_space_group_name_H-M 'P 4/m m m'
_symmetry_Int_Tables_number 123
_symmetry_space_group_name_Hall '-P 4 2'
loop_
_atom_site_label
_atom_site_type_symbol
_atom_site_fract_x
_atom_site_fract_y
_atom_site_fract_z
_atom_site_occupancy
Rb1 Rb 0.000 0.500 0.000 1
Sr1 Sr 0.000 0.000 0.500 1
La1 La 0.500 0.500 0.500 1
Te1 Te 0.500 0.500 0.000 1
```

Magnetic moment ... 0.196 μB per atom
ΔE_f (raw) ... -0.1620 eV per atom
Uncorrected energy ... -2.50 eV per atom

---

Entry 6:
First-principles (PBE) data for RbSrLa2Zn after structural relaxation, as listed in Alexandria via LeMat-Bulk.

Structure (CIF):
```
data_RbSrLa2Zn
_chemical_formula_sum 'Rb1 Sr1 La2 Zn1'
_cell_length_a 6.128
_cell_length_b 6.128
_cell_length_c 6.630
_cell_angle_alpha 90.00
_cell_angle_beta 90.00
_cell_angle_gamma 90.00
_symmetry_space_group_name_H-M 'P 4/m m m'
_symmetry_Int_Tables_number 123
_symmetry_space_group_name_Hall '-P 4 2'
loop_
_atom_site_label
_atom_site_type_symbol
_atom_site_fract_x
_atom_site_fract_y
_atom_site_fract_z
_atom_site_occupancy
Rb1 Rb 0.000 0.000 0.000 1
Sr1 Sr 0.000 0.000 0.500 1
La1 La 0.000 0.500 0.500 1
Zn1 Zn 0.500 0.500 0.000 1
```

Energy of formation ... 1.102 eV/atom
Magnetic moment ... 0.000 μB per atom
Uncorrected energy ... -1.65 eV per atom

---

Entry 7:
First-principles (PBE) data for RbLaTa3 after structural relaxation, as listed in Alexandria via LeMat-Bulk.

Structure (CIF):
```
data_RbLaTa3
_chemical_formula_sum 'Rb1 La1 Ta3'
_cell_length_a 5.190
_cell_length_b 5.190
_cell_length_c 5.190
_cell_angle_alpha 90.00
_cell_angle_beta 90.00
_cell_angle_gamma 90.00
_symmetry_space_group_name_H-M 'P m -3 m'
_symmetry_Int_Tables_number 221
_symmetry_space_group_name_Hall '-P 4 2 3'
loop_
_atom_site_label
_atom_site_type_symbol
_atom_site_fract_x
_atom_site_fract_y
_atom_site_fract_z
_atom_site_occupancy
Rb1 Rb 0.000 0.000 0.000 1
La1 La 0.500 0.500 0.500 1
Ta1 Ta 0.000 0.500 0.500 1
```

Energy of formation ... 2.376 eV/atom
Magnetic moment ... 0.000 μB per atom
Uncorrected energy ... -5.91 eV per atom

---

Entry 8:
First-principles (PBE) data for RbLa3Ta after structural relaxation, as listed in Alexandria via LeMat-Bulk.

Structure (CIF):
```
data_RbLa3Ta
_chemical_formula_sum 'Rb1 La3 Ta1'
_cell_length_a 5.918
_cell_length_b 5.918
_cell_length_c 5.918
_cell_angle_alpha 90.00
_cell_angle_beta 90.00
_cell_angle_gamma 90.00
_symmetry_space_group_name_H-M 'P m -3 m'
_symmetry_Int_Tables_number 221
_symmetry_space_group_name_Hall '-P 4 2 3'
loop_
_atom_site_label
_atom_site_type_symbol
_atom_site_fract_x
_atom_site_fract_y
_atom_site_fract_z
_atom_site_occupancy
Rb1 Rb 0.000 0.000 0.000 1
La1 La 0.000 0.500 0.500 1
Ta1 Ta 0.500 0.500 0.500 1
```

Energy of formation ... 0.552 eV/atom
Magnetic moment ... 0.000 μB per atom
Uncorrected energy ... -4.97 eV per atom

---

- Which value of uncorrected energy does entry 6 give?
  -1.65 eV per atom

---

- Among the records above, which one has the highest magnetic moment?
  number 4

---

- Which value of magnetic moment does entry 5 give?
  0.196 μB per atom